1.
The following is a PBE-GGA calculation of a relaxed Pr7Pt3 crystal, from Alexandria.

## Properties
Calculated density: 8741 kg/m3
VASP energy: -5.887 eV per atom
Energy of formation: -0.73 eV per atom
N(E_F): 1.14 states/eV per atom

a b c (Å): 6.509 10.293 10.293
angles (deg): 120.00 90.00 90.00
Positions (direct):
Pr (0.426, 0.127, 0.873)
Pt (0.373, 0.378, 0.189)
Pr (0.124, 0.075, 0.538)
Pr (0.624, 0.538, 0.462)
Pt (0.873, 0.189, 0.811)
Pt (0.873, 0.622, 0.811)
Pr (0.624, 0.925, 0.462)
Pr (0.624, 0.538, 0.075)
Pt (0.373, 0.811, 0.622)
Pr (0.926, 0.873, 0.747)
Pr (0.138, 0.667, 0.333)
Pt (0.873, 0.189, 0.378)
Pr (0.426, 0.127, 0.253)
Pr (0.638, 0.333, 0.667)
Pr (0.124, 0.462, 0.538)
Pr (0.926, 0.873, 0.127)
Pr (0.426, 0.747, 0.873)
Pr (0.124, 0.462, 0.925)
Pt (0.373, 0.811, 0.189)
Pr (0.926, 0.253, 0.127)



2.
The following is a PBE-GGA calculation of a relaxed Pr2Pt7 crystal, from Alexandria.

## Properties
Calculated density: 15734 kg/m3
VASP energy: -6.610 eV per atom
Energy of formation: -0.85 eV per atom
N(E_F): 0.83 states/eV per atom

a b c (Å): 5.483 5.483 13.728
angles (deg): 78.48 78.48 60.00
Positions (direct):
Pt (0.387, 0.892, 0.333)
Pt (0.611, 0.611, 0.166)
Pt (0.500, 0.500, 0.000)
Pr (0.147, 0.147, 0.558)
Pt (0.000, 0.500, 0.000)
Pt (0.389, 0.389, 0.834)
Pr (0.853, 0.853, 0.442)
Pr (0.950, 0.950, 0.149)
Pr (0.050, 0.050, 0.851)
Pt (0.722, 0.722, 0.833)
Pt (0.613, 0.613, 0.667)
Pt (0.613, 0.108, 0.667)
Pt (0.387, 0.387, 0.333)
Pt (0.500, 0.000, 0.000)
Pt (0.892, 0.387, 0.333)
Pt (0.108, 0.613, 0.667)
Pt (0.500, 0.500, 0.500)
Pt (0.278, 0.278, 0.167)



3.
The following is a PBE-GGA calculation of a relaxed PrPt4 crystal, from Alexandria.

## Properties
Calculated density: 15348 kg/m3
VASP energy: -6.364 eV per atom
Energy of formation: -0.58 eV per atom
N(E_F): 1.12 states/eV per atom

a b c (Å): 8.031 8.031 8.031
angles (deg): 109.47 109.47 109.47
Positions (direct):
Pt (0.791, 0.791, 0.791)
Pt (0.349, 0.000, 0.349)
Pr (0.000, 0.000, 0.555)
Pt (0.209, 0.000, 0.000)
Pt (0.500, 0.750, 0.250)
Pr (0.000, 0.555, 0.000)
Pt (0.349, 0.349, 0.000)
Pt (0.000, 0.651, 0.651)
Pr (0.445, 0.445, 0.445)
Pt (0.000, 0.209, 0.000)
Pr (0.555, 0.000, 0.000)
Pt (0.000, 0.000, 0.209)
Pt (0.750, 0.500, 0.250)
Pt (0.651, 0.000, 0.651)
Pt (0.000, 0.349, 0.349)
Pt (0.250, 0.500, 0.750)
Pt (0.651, 0.651, 0.000)
Pt (0.750, 0.250, 0.500)
Pt (0.250, 0.750, 0.500)
Pt (0.500, 0.250, 0.750)



> Among the records above, which one has the lowest calculated density?

Pr7Pt3



> Which value of N(E_F) does entry 1 give?

1.14 states/eV per atom



> Number 2 is which compound?

Pr2Pt7



> The highest energy of formation belongs to which entry?

PrPt4